[1]
Below is a relaxed LiRePt crystal, with properties calculated at the PBE-GGA level.

Computed properties:
**E_form**: -0.01 eV per atom
**Distance to the lowest polymorph of the same formula**: 23.0 kJ per mole of atoms
**Density of states at the Fermi level**: 8.35 states/eV per cell
**Volume**: 13.7 Å³/atom
**Final energy**: -6.8159 eV per atom

Cell: 9.3362 2.8390 6.5300 Å, 90.00 108.22 90.00°
Space group Cm (No. 8)
Symmetry-distinct sites (fractional):
Li (0.0000, 0.0000, 0.0000)
Li (0.1170, 0.5000, 0.8423)
Re (0.1652, 0.5000, 0.3483)
Re (0.3302, 0.0000, 0.1614)
Pt (0.2944, 0.0000, 0.7303)
Pt (0.4753, 0.5000, 0.5099)

---

[2]
Below is a relaxed Os6Pb4O19 crystal, with properties calculated at the PBE-GGA level.

Computed properties:
**Raw formation energy**: -1.078 eV/atom
**Density of states at the Fermi level**: 26.29 states/eV per cell
**Volume**: 13.8 Å³/atom
**Final energy**: -7.1616 eV per atom

Cell: 9.2932 9.2932 9.2932 Å, 90.00 90.00 90.00°
Space group I23 (No. 197)
Symmetry-distinct sites (fractional):
Os (0.0000, 0.1382, 0.5000)
Pb (0.1484, 0.1484, 0.1484)
O (0.0000, 0.0000, 0.0000)
O (0.0000, 0.0000, 0.3326)
O (0.0014, 0.2898, 0.6440)

---

[3]
Below is a relaxed Tm5Tl2Hg2 crystal, with properties calculated at the PBE-GGA level.

Computed properties:
**E_form**: -0.33 eV per atom
**Density of states at the Fermi level**: 20.97 states/eV per cell
**Volume**: 27.3 Å³/atom
**Final energy**: -3.4029 eV per atom

Cell: 16.1394 8.4645 7.1878 Å, 90.00 90.00 90.00°
Space group Cmce (No. 64)
Symmetry-distinct sites (fractional):
Tm (0.0000, 0.0000, 0.0000)
Tm (0.1390, 0.1851, 0.3415)
Tl (0.2108, 0.0000, 0.0000)
Hg (0.0000, 0.1440, 0.6214)

---

[4]
Below is a relaxed CaAcAu crystal, with properties calculated at the PBE-GGA level.

Computed properties:
**E_form**: -0.53 eV per atom
**Distance to the lowest polymorph of the same formula**: 1.8 kJ per mole of atoms
**Density of states at the Fermi level**: 9.71 states/eV per cell
**Volume**: 33.2 Å³/atom
**Final energy**: -3.6595 eV per atom

Cell: 13.6313 5.3573 5.4570 Å, 90.00 90.03 90.00°
Space group C2/m (No. 12)
Symmetry-distinct sites (fractional):
Ca (0.1177, 0.0000, 0.2502)
Ac (0.1159, 0.5000, 0.7504)
Au (0.2456, 0.5000, 0.2507)

---

[5]
Below is a relaxed AcYI2 crystal, with properties calculated at the PBE-GGA level.

Computed properties:
**Raw formation energy**: -0.742 eV/atom
**Density of states at the Fermi level**: 6.71 states/eV per cell
**Volume**: 39.1 Å³/atom
**Final energy**: -4.1604 eV per atom

Cell: 4.0160 4.0160 33.5587 Å, 90.00 90.00 120.00°
Space group R-3m (No. 166, hexagonal axes)
Symmetry-distinct sites (fractional):
Ac (0.0000, 0.0000, 0.0000)
Y (0.0000, 0.0000, 0.5000)
I (0.0000, 0.0000, 0.4085)

---

> Among the records above, which one has the highest density of states at the Fermi level?

Os6Pb4O19

---

> The lowest final energy belongs to which entry?

Os6Pb4O19

---

> Which of these has the lowest volume?

LiRePt

---

> What is the final energy in the second record?

-7.1616 eV per atom